DFT (PBE-GGA) results for a geometry-optimized Nd2SnCl8 structure.

CIF file:
```
data_Nd2SnCl8
_cell_length_a 4.061
_cell_length_b 7.879
_cell_length_c 11.038
_cell_angle_alpha 83.28
_cell_angle_beta 100.60
_cell_angle_gamma 90.00
_symmetry_space_group_name_H-M 'P 1'
_symmetry_Int_Tables_number 1
loop_
_symmetry_equiv_pos_as_xyz
'x,y,z'
loop_
_atom_site_label
_atom_site_type_symbol
_atom_site_fract_x
_atom_site_fract_y
_atom_site_fract_z
Nd1 Nd 0.160 0.660 0.320
Nd2 Nd 0.840 0.340 0.680
Sn1 Sn 0.500 0.000 0.000
Cl1 Cl 0.617 0.469 0.234
Cl2 Cl 0.366 0.071 0.732
Cl3 Cl 0.243 0.332 0.487
Cl4 Cl 0.024 0.748 0.048
Cl5 Cl 0.757 0.668 0.513
Cl6 Cl 0.634 0.929 0.268
Cl7 Cl 0.383 0.531 0.766
Cl8 Cl 0.976 0.252 0.952
```

Values from the calculation:
- Spin magnetization: 0.00 μB per formula unit
- Total energy: -49.30 eV/f.u.
- Uncorrected formation energy: -1.908 eV/atom